Model P:
A plane-wave DFT calculation with PBE was carried out for a relaxed structure of AgAs2W.

Properties
The value obtained for the total magnetization is 0.0 μB per formula unit. The calculation puts the volume at 73.4 Å³/f.u.

Cell lengths 6.202, 8.669, 2.732 Å; angles 90.00, 91.89, 90.00 degrees
Space group C2/m (No. 12)
Asymmetric unit:
Ag 0.000 0.000 0.000 [2 per cell]
As 0.250 0.250 0.000 [4 per cell]
W 0.000 0.500 0.000 [2 per cell]

=====

Model Q:
A plane-wave DFT calculation with PBE was carried out for a relaxed structure of AgAs2W.

Properties
The value obtained for the total magnetization is 0.0 μB per formula unit. The calculation puts the volume at 73.0 Å³/f.u.

Cell lengths 3.1887, 3.1887, 24.8766 Å; angles 90.00, 90.00, 120.00 degrees
Space group R-3m (No. 166, hexagonal axes)
Asymmetric unit:
Ag 0.0000 0.0000 0.0000 [3 per cell]
As 0.0000 0.0000 0.2398 [6 per cell]
W 0.0000 0.0000 0.5000 [3 per cell]

=====

If we sort the structures by their calculated energies, the order from most to least stable is model Q, model P.